Material: ErScMoO6
Method: DFT, PBE with a Hubbard U
State: optimized geometry

a = 4.5569 Å, b = 5.3770 Å, c = 5.3770 Å
α = 120.00°, β = 90.00°, γ = 90.00°
With the nearest neighbours (Å) after each atom.
Fractional positions:
Sc  0.0000  0.3333  0.6667  6 O 2.18
O  0.2620  0.6894  0.9842  1 Mo 1.96, 1 Sc 2.18
O  0.7380  0.2947  0.9842  1 Mo 1.96, 1 Sc 2.18
O  0.2620  0.0158  0.7053  1 Mo 1.96, 1 Sc 2.18
O  0.7380  0.6894  0.7053  1 Mo 1.96, 1 Sc 2.18
O  0.7380  0.0158  0.3106  1 Mo 1.96, 1 Sc 2.18
O  0.2620  0.2947  0.3106  1 Mo 1.96, 1 Sc 2.18
Mo  0.5000  0.0000  0.0000  6 O 1.96
Er  0.5000  0.6667  0.3333  6 O 2.22

Computed properties:
- Raw total energy: -7.91 eV per atom
- M_tot: 0.0 μB per formula unit
- Crystal system: trigonal
- Space-group type: No. 149